No. 1
The following is a PBE-GGA calculation of a relaxed structure of RbGaSn, from Alexandria via LeMat-Bulk.

abc: 7.016 4.241 15.422
angles: 90.00 90.00 90.00
Space group Pnma (No. 62)
Unique sites:
Rb1 0.087 0.250 0.158 (multiplicity 4)
Ga1 0.059 0.750 0.357 (multiplicity 4)
Sn1 0.152 0.250 0.489 (multiplicity 4)

## Properties
The density of states at the Fermi level is 5.47 states/eV/cell. The calculation puts the total magnetic moment at 0.000 μB/f.u. Its energy relative to the elements is -0.080 eV per atom. Its crystal system is orthorhombic.

No. 2
The following is a PBE-GGA calculation of a relaxed structure of InAg2PbBr8, from Alexandria via LeMat-Bulk.

abc: 6.808 8.313 7.168
angles: 90.00 96.94 90.00
Space group P2/m (No. 10)
Unique sites:
In1 0.000 0.000 0.000 (multiplicity 1)
Ag1 0.500 0.248 0.500 (multiplicity 2)
Pb1 0.000 0.500 0.000 (multiplicity 1)
Br1 0.219 0.223 0.850 (multiplicity 4)
Br2 0.276 0.000 0.340 (multiplicity 2)
Br3 0.278 0.500 0.360 (multiplicity 2)

## Properties
The value obtained for the formation energy (no corrections) is -0.576 eV/atom. The density of states at the Fermi level is 6.99 states/eV/cell. The calculation puts the total magnetic moment at 0.000 μB/f.u. Its crystal system is monoclinic.

No. 3
The following is a PBE-GGA calculation of a relaxed structure of NbGaOF2, from Alexandria via LeMat-Bulk.

abc: 4.378 4.378 4.018
angles: 90.00 90.00 90.00
Space group P4/mmm (No. 123)
Unique sites:
Nb1 0.000 0.000 0.000 (multiplicity 1)
Ga1 0.500 0.500 0.500 (multiplicity 1)
O1 0.000 0.000 0.500 (multiplicity 1)
F1 0.000 0.500 0.000 (multiplicity 2)

## Properties
The value obtained for the formation energy (no corrections) is -1.834 eV/atom. The density of states at the Fermi level is 1.43 states/eV/cell. The calculation puts the total magnetic moment at 1.929 μB/f.u. The calculation puts the energy above the most stable polymorph in this dataset at 0 meV per atom. Its crystal system is tetragonal.

No. 4
The following is a PBE-GGA calculation of a relaxed structure of PmSm2Ru9, from Alexandria via LeMat-Bulk.

abc: 5.3035 5.3035 26.4316
angles: 90.00 90.00 120.00
Space group R-3m (No. 166, hexagonal axes)
Unique sites:
Pm1 0.0000 0.0000 0.0000 (multiplicity 3)
Sm1 0.0000 0.0000 0.1399 (multiplicity 6)
Ru1 0.0000 0.0000 0.3373 (multiplicity 6)
Ru2 0.0000 0.0000 0.5000 (multiplicity 3)
Ru3 0.0079 0.5040 0.9181 (multiplicity 18)

## Properties
The density of states at the Fermi level is 53.06 states/eV/cell. The calculation puts the total magnetic moment at 0.003 μB/f.u. Its energy relative to the elements is -0.061 eV per atom. Its crystal system is trigonal.

No. 5
The following is a PBE-GGA calculation of a relaxed structure of Na2Sr2Ca, from Alexandria via LeMat-Bulk.

abc: 10.582 10.582 4.134
angles: 90.00 90.00 90.00
Space group P4/mbm (No. 127)
Unique sites:
Na1 0.161 0.339 0.000 (multiplicity 4)
Sr1 0.138 0.638 0.500 (multiplicity 4)
Ca1 0.000 0.000 0.500 (multiplicity 2)

## Properties
The density of states at the Fermi level is 8.98 states/eV/cell. The calculation puts the total magnetic moment at 0.000 μB/f.u. Its energy relative to the elements is 0.147 eV per atom. The calculation puts the energy above the most stable polymorph in this dataset at 117 meV per atom. Its crystal system is tetragonal.

No. 6
The following is a PBE-GGA calculation of a relaxed structure of Al3Ag4, from Alexandria via LeMat-Bulk.

abc: 2.924 6.296 7.237
angles: 113.15 90.05 102.74
Space group P-1 (No. 2)
Unique sites:
Al1 0.000 0.000 0.000 (multiplicity 1)
Al2 0.421 0.844 0.277 (multiplicity 2)
Ag1 0.129 0.262 0.430 (multiplicity 2)
Ag2 0.292 0.581 0.859 (multiplicity 2)

## Properties
The density of states at the Fermi level is 1.87 states/eV/cell. The calculation puts the total magnetic moment at 0.000 μB/f.u. Its energy relative to the elements is -0.040 eV per atom. The calculation puts the energy above the most stable polymorph in this dataset at 11 meV per atom. Its crystal system is triclinic.

No. 7
The following is a PBE-GGA calculation of a relaxed structure of Ba2ZnBr, from Alexandria via LeMat-Bulk.

abc: 4.226 4.339 17.613
angles: 90.00 90.00 90.00
Space group Imm2 (No. 44)
Unique sites:
Ba1 0.000 0.000 0.000 (multiplicity 2)
Ba2 0.000 0.500 0.267 (multiplicity 2)
Zn1 0.000 0.000 0.415 (multiplicity 2)
Br1 0.000 0.500 0.668 (multiplicity 2)

## Properties
The value obtained for the formation energy (no corrections) is -0.773 eV/atom. The density of states at the Fermi level is 7.29 states/eV/cell. The calculation puts the total magnetic moment at 0.350 μB/f.u. The calculation puts the energy above the most stable polymorph in this dataset at 114 meV per atom. Its crystal system is orthorhombic.

No. 8
The following is a PBE-GGA calculation of a relaxed structure of Sm5Ru4, from Alexandria via LeMat-Bulk.

abc: 10.659 4.397 9.847
angles: 90.00 110.52 90.00
Space group C2/m (No. 12)
Unique sites:
Sm1 0.000 0.000 0.000 (multiplicity 2)
Sm2 0.112 0.000 0.394 (multiplicity 4)
Sm3 0.243 0.000 0.826 (multiplicity 4)
Ru1 0.047 0.500 0.845 (multiplicity 4)
Ru2 0.097 0.500 0.614 (multiplicity 4)

## Properties
The density of states at the Fermi level is 20.07 states/eV/cell. The calculation puts the total magnetic moment at 0.001 μB/f.u. Its energy relative to the elements is -0.179 eV per atom. Its crystal system is monoclinic.

No. 9
The following is a PBE-GGA calculation of a relaxed structure of CaAc2Hg, from Alexandria via LeMat-Bulk.

abc: 4.149 14.016 10.573
angles: 90.00 90.00 90.00
Space group Cmcm (No. 63)
Unique sites:
Ca1 0.000 0.060 0.250 (multiplicity 4)
Ac1 0.000 0.363 0.053 (multiplicity 8)
Hg1 0.000 0.263 0.750 (multiplicity 4)

## Properties
The density of states at the Fermi level is 18.18 states/eV/cell. The calculation puts the total magnetic moment at 0.000 μB/f.u. Its energy relative to the elements is -0.217 eV per atom. The calculation puts the energy above the most stable polymorph in this dataset at 0 meV per atom. Its crystal system is orthorhombic.

No. 10
The following is a PBE-GGA calculation of a relaxed structure of HfCr2Ag, from Alexandria via LeMat-Bulk.

abc: 3.796 3.796 19.044
angles: 90.00 90.00 90.00
Space group I-42d (No. 122)
Unique sites:
Hf1 0.000 0.000 0.000 (multiplicity 4)
Cr1 0.197 0.250 0.125 (multiplicity 8)
Ag1 0.000 0.000 0.500 (multiplicity 4)

## Properties
The density of states at the Fermi level is 14.24 states/eV/cell. The calculation puts the total magnetic moment at 0.000 μB/f.u. Its energy relative to the elements is 0.876 eV per atom. The calculation puts the energy above the most stable polymorph in this dataset at 349 meV per atom. Its crystal system is tetragonal.

No. 11
The following is a PBE-GGA calculation of a relaxed structure of ZrCrCl2, from Alexandria via LeMat-Bulk.

abc: 6.168 8.641 3.275
angles: 90.00 117.15 90.00
Space group C2/m (No. 12)
Unique sites:
Zr1 0.000 0.000 0.000 (multiplicity 2)
Cr1 0.000 0.500 0.000 (multiplicity 2)
Cl1 0.250 0.250 0.000 (multiplicity 4)

## Properties
The value obtained for the formation energy (no corrections) is -0.287 eV/atom. The density of states at the Fermi level is 6.54 states/eV/cell. The calculation puts the total magnetic moment at 3.568 μB/f.u. The calculation puts the energy above the most stable polymorph in this dataset at 402 meV per atom. Its crystal system is monoclinic.

No. 12
The following is a PBE-GGA calculation of a relaxed structure of Dy3Ho2Se8, from Alexandria via LeMat-Bulk.

abc: 14.258 8.187 6.973
angles: 90.00 109.52 90.00
Space group C2/m (No. 12)
Unique sites:
Dy1 0.000 0.000 0.000 (multiplicity 2)
Dy2 0.000 0.261 0.500 (multiplicity 4)
Ho1 0.243 0.500 0.162 (multiplicity 4)
Se1 0.119 0.000 0.425 (multiplicity 4)
Se2 0.120 0.500 0.405 (multiplicity 4)
Se3 0.124 0.240 0.915 (multiplicity 8)

## Properties
The value obtained for the formation energy (no corrections) is -1.703 eV/atom. The density of states at the Fermi level is 13.20 states/eV/cell. The calculation puts the total magnetic moment at 0.000 μB/f.u. Its crystal system is monoclinic.

No. 13
The following is a PBE-GGA calculation of a relaxed structure of CsZr2PH, from Alexandria via LeMat-Bulk.

abc: 4.936 4.936 7.636
angles: 90.00 90.00 90.00
Space group P4/mmm (No. 123)
Unique sites:
Cs1 0.000 0.000 0.000 (multiplicity 1)
Zr1 0.000 0.500 0.500 (multiplicity 2)
P1 0.000 0.000 0.500 (multiplicity 1)
H1 0.500 0.500 0.000 (multiplicity 1)

## Properties
The density of states at the Fermi level is 6.82 states/eV/cell. The calculation puts the total magnetic moment at 2.669 μB/f.u. Its crystal system is tetragonal. The calculated total energy comes out at -23.88 eV per cell.

No. 14
The following is a PBE-GGA calculation of a relaxed structure of K2TiBr2F4, from Alexandria via LeMat-Bulk.

abc: 6.743 6.743 9.059
angles: 90.00 90.00 90.00
Space group I4/mmm (No. 139)
Unique sites:
K1 0.000 0.500 0.250 (multiplicity 4)
Ti1 0.000 0.000 0.000 (multiplicity 2)
Br1 0.000 0.000 0.284 (multiplicity 4)
F1 0.196 0.196 0.000 (multiplicity 8)

## Properties
The value obtained for the formation energy (no corrections) is -2.623 eV/atom. The density of states at the Fermi level is 0.00 states/eV/cell. The calculation puts the total magnetic moment at 0.000 μB/f.u. Its crystal system is tetragonal.

No. 15
The following is a PBE-GGA calculation of a relaxed structure of SrZn2AgAu2, from Alexandria via LeMat-Bulk.

abc: 4.5596 4.5596 7.0809
angles: 90.00 90.00 120.00
Space group P-3m1 (No. 164)
Unique sites:
Sr1 0.0000 0.0000 0.0000 (multiplicity 1)
Zn1 0.3333 0.6667 0.3232 (multiplicity 2)
Ag1 0.0000 0.0000 0.5000 (multiplicity 1)
Au1 0.3333 0.6667 0.7144 (multiplicity 2)

## Properties
The density of states at the Fermi level is 1.96 states/eV/cell. The calculation puts the total magnetic moment at 0.000 μB/f.u. Its energy relative to the elements is -0.420 eV per atom. Its crystal system is trigonal.

No. 16
The following is a PBE-GGA calculation of a relaxed structure of LuZrInRu, from Alexandria via LeMat-Bulk.

abc: 6.920 6.920 6.920
angles: 90.00 90.00 90.00
Space group F-43m (No. 216)
Unique sites:
Lu1 0.000 0.000 0.000 (multiplicity 4)
Zr1 0.000 0.000 0.500 (multiplicity 4)
In1 0.250 0.250 0.250 (multiplicity 4)
Ru1 0.250 0.250 0.750 (multiplicity 4)

## Properties
The density of states at the Fermi level is 11.56 states/eV/cell. The calculation puts the total magnetic moment at 0.000 μB/f.u. Its energy relative to the elements is -0.308 eV per atom. Its crystal system is cubic.